--- i ---
Pm4Co2I5: relaxed, PBE.

Cell lengths 4.1933, 8.8273, 11.1832 Å; angles 113.25, 100.81, 90.00 degrees
Positions (direct):
Co 0.4475 0.4475 0.8950
Co 0.5525 0.5525 0.1050
I 0.1649 0.9391 0.3298
I 0.8351 0.0609 0.6702
I 0.5000 0.0000 0.0000
I 0.1649 0.3907 0.3298
I 0.8351 0.6093 0.6702
Pm 0.0000 0.2993 0.0000
Pm 0.6718 0.6718 0.3437
Pm 0.3282 0.3282 0.6563
Pm 0.0000 0.7007 0.0000

***

--- ii ---
Pm4Co2I5: relaxed, PBE.

Cell lengths 4.1597, 8.8329, 11.3766 Å; angles 97.99, 100.53, 90.00 degrees
Site moments in Bohr magnetons follow the coordinates.
Positions (direct):
Pm 0.0182 0.7042 0.0363  -0.01
Pm 0.9818 0.2958 0.9637  -0.01
Pm 0.3426 0.4263 0.6852  0.02
Pm 0.6574 0.5737 0.3148  0.02
I 0.8105 0.6746 0.6211  0.00
I 0.5000 0.0000 0.0000  0.00
I 0.1895 0.3254 0.3789  0.00
I 0.8388 0.1531 0.6776  0.00
I 0.1612 0.8469 0.3224  0.00
Co 0.4522 0.4938 0.9044  0.09
Co 0.5478 0.5062 0.0956  0.09

***

Stability, highest: ii

***

--- i ---
CoPt2I: relaxed, PBE.

Cell lengths 7.3542, 7.3542, 5.8546 Å; angles 51.09, 51.09, 90.00 degrees
Site moments in Bohr magnetons follow the coordinates.
Positions (direct):
Pt 0.3750 0.4039 0.7500  0.16
Pt 0.5961 0.1250 0.2500  0.17
Pt 0.8750 0.8461 0.7500  0.15
Pt 0.1539 0.6250 0.2500  0.16
Co 0.2500 0.7500 0.5000  1.66
Co 0.5000 0.5000 0.0000  1.69
I 0.0000 0.0000 0.0000  0.01
I 0.7500 0.2500 0.5000  0.00

***

--- ii ---
CoPt2I: relaxed, PBE.

Cell lengths 4.6013, 4.6013, 4.6013 Å; angles 60.00, 60.00, 60.00 degrees
Site moments in Bohr magnetons follow the coordinates.
Positions (direct):
I 0.5000 0.5000 0.5000  -0.01
Pt 0.7500 0.7500 0.7500  0.04
Pt 0.2500 0.2500 0.2500  0.04
Co 0.0000 0.0000 0.0000  1.73

***

Stability, highest: i

***

--- i ---
CoTe2PtI: relaxed, PBE.

Cell lengths 5.8770, 4.9279, 5.8770 Å; angles 90.00, 90.00, 90.00 degrees
Site moments in Bohr magnetons follow the coordinates.
Positions (direct):
I 0.0000 0.0000 0.0000  -0.01
Te 0.5000 0.0000 0.0000  0.07
Te 0.0000 0.0000 0.5000  0.08
Pt 0.0000 0.5000 0.0000  0.01
Co 0.5000 0.5000 0.5000  2.31

***

--- ii ---
CoTe2PtI: relaxed, PBE.

Cell lengths 4.9104, 4.9104, 5.1462 Å; angles 90.00, 90.00, 90.00 degrees
Positions (direct):
Te 0.5000 0.0000 0.0000
Te 0.0000 0.5000 0.0000
Pt 0.5000 0.5000 0.5000
I 0.0000 0.0000 0.5000
Co 0.0000 0.0000 0.0000

***

Stability, highest: ii

***

--- i ---
RbCo2I: relaxed, PBE.

Cell lengths 4.8927, 4.8927, 4.8927 Å; angles 60.00, 60.00, 60.00 degrees
Site moments in Bohr magnetons follow the coordinates.
Positions (direct):
Rb 0.0000 0.0000 0.0000  -0.03
I 0.5000 0.5000 0.5000  0.03
Co 0.7500 0.7500 0.7500  1.36
Co 0.2500 0.2500 0.2500  1.36

***

--- ii ---
RbCo2I: relaxed, PBE.

Cell lengths 5.1027, 5.1027, 9.1814 Å; angles 73.87, 73.87, 90.00 degrees
Site moments in Bohr magnetons follow the coordinates.
Positions (direct):
Rb 0.2500 0.7500 0.5000  -0.02
Rb 0.5000 0.5000 0.0000  -0.02
Co 0.8750 0.1250 0.2500  1.29
Co 0.3750 0.1250 0.7500  0.98
Co 0.8750 0.6250 0.2500  1.30
Co 0.8750 0.1250 0.7500  0.99
I 0.7500 0.2500 0.5000  -0.01
I 0.0000 0.0000 0.0000  -0.01

***

Stability, highest: ii

***

--- i ---
RbCoSb2I: relaxed, PBE.

Cell lengths 4.8118, 4.8118, 9.7370 Å; angles 90.00, 90.00, 90.00 degrees
Positions (direct):
Rb 0.5000 0.5000 0.5000
Co 0.0000 0.0000 0.0000
Sb 0.0000 0.5000 0.0000
Sb 0.5000 0.0000 0.0000
I 0.0000 0.0000 0.5000

***

--- ii ---
RbCoSb2I: relaxed, PBE.

Cell lengths 6.4116, 6.4116, 6.4354 Å; angles 90.00, 90.00, 90.00 degrees
Site moments in Bohr magnetons follow the coordinates.
Positions (direct):
Sb 0.0000 0.5000 0.0000  0.44
Sb 0.5000 0.0000 0.0000  0.44
Co 0.5000 0.5000 0.5000  2.21
Rb 0.0000 0.0000 0.0000  0.04
I 0.0000 0.0000 0.5000  0.15

***

Stability, highest: i

***

--- i ---
Co2ReI: relaxed, PBE.

Cell lengths 4.3823, 4.3823, 4.3823 Å; angles 60.00, 60.00, 60.00 degrees
Site moments in Bohr magnetons follow the coordinates.
Positions (direct):
Co 0.2500 0.2500 0.2500  0.64
Co 0.7500 0.7500 0.7500  0.64
I 0.0000 0.0000 0.0000  0.01
Re 0.5000 0.5000 0.5000  0.92

***

--- ii ---
Co2ReI: relaxed, PBE.

Cell lengths 5.8949, 5.8949, 6.2466 Å; angles 61.85, 61.85, 90.00 degrees
Positions (direct):
Co 0.6592 0.1250 0.2500
Co 0.8750 0.9092 0.7500
Co 0.0908 0.6250 0.2500
Co 0.3750 0.3408 0.7500
Re 0.0000 0.0000 0.0000
Re 0.7500 0.2500 0.5000
I 0.5000 0.5000 0.0000
I 0.2500 0.7500 0.5000

***

Stability, highest: ii

***

--- i ---
Co3ReI: relaxed, PBE.

Cell lengths 4.5561, 4.5561, 4.5561 Å; angles 90.00, 90.00, 90.00 degrees
Site moments in Bohr magnetons follow the coordinates.
Positions (direct):
Co 0.0000 0.5000 0.0000  0.73
Co 0.0000 0.0000 0.5000  0.81
Co 0.5000 0.0000 0.0000  0.48
Re 0.0000 0.0000 0.0000  0.04
I 0.5000 0.5000 0.5000  0.09

***

--- ii ---
Co3ReI: relaxed, PBE.

Cell lengths 4.5282, 4.5282, 4.5282 Å; angles 90.00, 90.00, 90.00 degrees
Site moments in Bohr magnetons follow the coordinates.
Positions (direct):
Co 0.0000 0.0000 0.5000  1.02
Co 0.0000 0.5000 0.0000  1.14
Co 0.5000 0.0000 0.0000  1.19
Re 0.5000 0.5000 0.5000  2.96
I 0.0000 0.0000 0.0000  0.03

***

Stability, highest: i

***

--- i ---
Co3RuI: relaxed, PBE.

Cell lengths 4.5428, 4.5428, 4.5428 Å; angles 90.00, 90.00, 90.00 degrees
Site moments in Bohr magnetons follow the coordinates.
Positions (direct):
Co 0.0000 0.5000 0.0000  1.27
Co 0.0000 0.0000 0.5000  1.09
Co 0.5000 0.0000 0.0000  1.43
I 0.0000 0.0000 0.0000  0.00
Ru 0.5000 0.5000 0.5000  2.24

***

--- ii ---
Co3RuI: relaxed, PBE.

Cell lengths 4.6318, 4.6318, 4.6318 Å; angles 90.00, 90.00, 90.00 degrees
Site moments in Bohr magnetons follow the coordinates.
Positions (direct):
Co 0.5000 0.0000 0.0000  1.49
Co 0.0000 0.5000 0.0000  1.87
Co 0.0000 0.0000 0.5000  2.19
I 0.5000 0.5000 0.5000  0.13
Ru 0.0000 0.0000 0.0000  0.87

***

Stability, highest: ii